Below is a geometry-optimized Na3LiBi2O6 structure, with properties calculated at the PBE level.

Cell and atoms, written as POSCAR:
```
Na3LiBi2O6
1.0
-5.332 -2.388 0.426
3.655 -0.177 4.575
-1.480 5.724 0.156
Na Li Bi O
3 1 2 6
Cartesian
1.498 2.336 3.998 Na
-4.656 0.822 1.158 Na
-1.579 1.579 2.578 Na
0.000 0.000 0.000 Li
0.663 -0.913 3.194 Bi
-2.341 -1.652 1.807 Bi
-3.976 2.149 3.170 O
-1.548 -0.601 3.674 O
0.818 1.010 1.987 O
-0.860 2.915 4.608 O
-1.609 3.760 1.482 O
-2.297 0.244 0.549 O
```

Formation energy without anion corrections: -1364 meV per atom
Calculated total energy: -4.979 eV/atom
Total moment: 0.00 μB/f.u.